No. 1
Compound: AlBiSe
Source: Alexandria
Functional: GGA-PBE
Structure: optimized geometry

Calculated values
The raw formation energy is -0.40 eV/atom. The raw total energy comes out at -4.11 eV per atom. Its density of states at the Fermi level is 1.84 states/eV per cell.

Cell: 3.591 16.030 6.296 Å, 90.00 90.00 90.00°
Atoms (fractional coordinates):
Al1 0.000 0.195 0.000
Al2 0.000 0.805 0.500
Al3 0.500 0.305 0.500
Al4 0.500 0.695 0.000
Bi1 0.000 0.022 0.048
Bi2 0.000 0.978 0.548
Bi3 0.500 0.478 0.548
Bi4 0.500 0.522 0.048
Se1 0.000 0.211 0.603
Se2 0.000 0.789 0.103
Se3 0.500 0.289 0.103
Se4 0.500 0.711 0.603


No. 2
Compound: Li2NpIO6
Source: Alexandria
Functional: GGA-PBE
Structure: optimized geometry

Calculated values
The raw formation energy is -1.65 eV/atom. The raw total energy comes out at -6.45 eV per atom. Its density of states at the Fermi level is 4.45 states/eV per cell.

Cell: 6.020 6.020 4.265 Å, 90.00 90.00 90.00°
Atoms (fractional coordinates):
Li1 0.000 0.500 0.000
Li2 0.500 0.000 0.000
Np1 0.000 0.000 0.901
I1 0.500 0.500 0.900
O1 0.000 0.000 0.407
O2 0.252 0.252 0.925
O3 0.252 0.748 0.925
O4 0.500 0.500 0.479
O5 0.748 0.252 0.925
O6 0.748 0.748 0.925


No. 3
Compound: CeSc2Te
Source: Alexandria
Functional: GGA-PBE
Structure: optimized geometry

Calculated values
The raw formation energy is -0.35 eV/atom. The raw total energy comes out at -5.78 eV per atom. Its density of states at the Fermi level is 22.55 states/eV per cell. The calculation puts the offset from the most stable computed form at 134 meV/atom.

Cell: 3.674 3.674 28.210 Å, 90.00 90.00 120.00°
Atoms (fractional coordinates):
Ce1 0.000 0.000 0.000
Ce2 0.333 0.667 0.667
Ce3 0.667 0.333 0.333
Sc1 0.000 0.000 0.570
Sc2 0.000 0.000 0.762
Sc3 0.333 0.667 0.237
Sc4 0.333 0.667 0.429
Sc5 0.667 0.333 0.095
Sc6 0.667 0.333 0.904
Te1 0.000 0.000 0.166
Te2 0.333 0.667 0.833
Te3 0.667 0.333 0.499


No. 4
Compound: UCu2Te4
Source: Alexandria
Functional: GGA-PBE
Structure: optimized geometry

Calculated values
The raw formation energy is -0.20 eV/atom. The raw total energy comes out at -4.78 eV per atom. Its density of states at the Fermi level is 13.81 states/eV per cell.

Cell: 8.095 8.095 8.095 Å, 108.38 101.36 119.18°
Atoms (fractional coordinates):
U1 0.000 0.000 0.000
U2 0.485 0.500 0.985
Cu1 0.177 0.684 0.992
Cu2 0.243 0.748 0.491
Cu3 0.305 0.313 0.493
Cu4 0.741 0.253 0.493
Te1 0.006 0.691 0.687
Te2 0.027 0.260 0.797
Te3 0.459 0.273 0.220
Te4 0.480 0.182 0.671
Te5 0.489 0.819 0.298
Te6 0.538 0.739 0.765
Te7 0.948 0.729 0.188
Te8 0.996 0.310 0.315


No. 5
Compound: SbIr2W
Source: Alexandria
Functional: GGA-PBE
Structure: optimized geometry

Calculated values
The raw formation energy is 0.28 eV/atom. The raw total energy comes out at -8.42 eV per atom. Its density of states at the Fermi level is 2.92 states/eV per cell.

Cell: 2.973 2.973 7.542 Å, 90.00 90.00 90.00°
Atoms (fractional coordinates):
Sb1 0.000 0.000 0.000
Ir1 0.000 0.000 0.494
Ir2 0.500 0.500 0.766
W1 0.500 0.500 0.278


No. 6
Compound: Ta4AuSe
Source: Alexandria
Functional: GGA-PBE
Structure: optimized geometry

Calculated values
The raw formation energy is 0.56 eV/atom. The raw total energy comes out at -8.46 eV per atom. Its density of states at the Fermi level is 4.05 states/eV per cell.

Cell: 5.486 5.486 5.486 Å, 60.00 60.00 60.00°
Atoms (fractional coordinates):
Ta1 0.124 0.124 0.124
Ta2 0.124 0.124 0.628
Ta3 0.124 0.628 0.124
Ta4 0.628 0.124 0.124
Au1 0.750 0.750 0.750
Se1 0.500 0.500 0.500